1.
A plane-wave DFT calculation with PBE-GGA was carried out for MnCrTe2 after structural relaxation.

E_form (uncorrected)	0.29	eV/atom
raw total energy	-0.4393	Ry/atom

a = 3.9241 Å, b = 7.8209 Å, c = 7.7296 Å
α = 90.00°, β = 90.00°, γ = 90.00°
Space group Cmmm (No. 65)
Asymmetric unit:
Mn 0.0000 0.0000 0.0000 [2 per cell]
Cr 0.0000 0.0000 0.5000 [2 per cell]
Te 0.0000 0.5000 0.2489 [4 per cell]


2.
A plane-wave DFT calculation with PBE-GGA was carried out for BaZrTaAu2 after structural relaxation.

formation energy	140.8	kJ/mol of atoms
raw total energy	-0.3172	Ry/atom

a = 5.2036 Å, b = 5.2036 Å, c = 5.7382 Å
α = 90.00°, β = 90.00°, γ = 90.00°
Space group P4/mmm (No. 123)
Asymmetric unit:
Ba 0.0000 0.0000 0.0000 [1 per cell]
Zr 0.0000 0.0000 0.5000 [1 per cell]
Ta 0.5000 0.5000 0.0000 [1 per cell]
Au 0.0000 0.5000 0.5000 [2 per cell]


3.
A plane-wave DFT calculation with PBE-GGA was carried out for YMgAs after structural relaxation.

relative energy among the computed polymorphs	358	meV/atom
formation energy	-49.8	kJ/mol of atoms
raw total energy	-0.3493	Ry/atom

a = 6.6500 Å, b = 6.6500 Å, c = 6.6500 Å
α = 90.00°, β = 90.00°, γ = 90.00°
Space group F-43m (No. 216)
Asymmetric unit:
Y 0.0000 0.0000 0.0000 [4 per cell]
Mg 0.0000 0.0000 0.5000 [4 per cell]
As 0.2500 0.2500 0.7500 [4 per cell]


4.
A plane-wave DFT calculation with PBE-GGA was carried out for CaNd8Tm6 after structural relaxation.

formation energy	17.4	kJ/mol of atoms
raw total energy	-0.3149	Ry/atom

a = 9.7391 Å, b = 9.7391 Å, c = 18.1182 Å
α = 90.00°, β = 90.00°, γ = 120.00°
Space group R-3 (No. 148, hexagonal axes)
Asymmetric unit:
Ca 0.0000 0.0000 0.0000 [3 per cell]
Nd 0.0000 0.0000 0.2407 [6 per cell]
Nd 0.0457 0.7629 0.9022 [18 per cell]
Tm 0.0268 0.7940 0.4103 [18 per cell]


5.
A plane-wave DFT calculation with PBE-GGA was carried out for KAg6I8 after structural relaxation.

E_form (uncorrected)	-0.36	eV/atom
raw total energy	-0.1766	Ry/atom

a = 12.0038 Å, b = 12.0038 Å, c = 13.0713 Å
α = 90.00°, β = 90.00°, γ = 120.00°
Space group R-3 (No. 148, hexagonal axes)
Asymmetric unit:
K 0.0000 0.0000 0.0000 [3 per cell]
Ag 0.0482 0.8004 0.6182 [18 per cell]
I 0.0000 0.0000 0.3259 [6 per cell]
I 0.0234 0.7329 0.1177 [18 per cell]


6.
A plane-wave DFT calculation with PBE-GGA was carried out for LiAc2In8 after structural relaxation.

formation energy	-31.4	kJ/mol of atoms
raw total energy	-0.2380	Ry/atom

a = 4.9111 Å, b = 4.9111 Å, c = 12.8446 Å
α = 90.00°, β = 90.00°, γ = 90.00°
Space group P4/mmm (No. 123)
Asymmetric unit:
Li 0.0000 0.0000 0.0000 [1 per cell]
Ac 0.0000 0.0000 0.3079 [2 per cell]
In 0.0000 0.5000 0.1206 [4 per cell]
In 0.0000 0.5000 0.5000 [2 per cell]
In 0.5000 0.5000 0.3046 [2 per cell]


7.
A plane-wave DFT calculation with PBE-GGA was carried out for K2Pb2Cl7 after structural relaxation.

E_form (uncorrected)	-1.28	eV/atom
raw total energy	-0.2446	Ry/atom

a = 4.3901 Å, b = 15.2192 Å, c = 9.7941 Å
α = 90.00°, β = 90.00°, γ = 90.00°
Space group Imm2 (No. 44)
Asymmetric unit:
K 0.0000 0.2302 0.0000 [4 per cell]
Pb 0.0000 0.0000 0.6954 [2 per cell]
Pb 0.0000 0.5000 0.7664 [2 per cell]
Cl 0.0000 0.0000 0.0837 [2 per cell]
Cl 0.0000 0.1095 0.4745 [4 per cell]
Cl 0.0000 0.3186 0.7082 [4 per cell]
Cl 0.0000 0.3870 0.2793 [4 per cell]


8.
A plane-wave DFT calculation with PBE-GGA was carried out for CaSi2W after structural relaxation.

relative energy among the computed polymorphs	469	meV/atom
E_form (uncorrected)	0.32	eV/atom
raw total energy	-0.4504	Ry/atom

a = 6.1722 Å, b = 7.9081 Å, c = 2.8759 Å
α = 90.00°, β = 103.67°, γ = 90.00°
Space group C2/m (No. 12)
Asymmetric unit:
Ca 0.0000 0.0000 0.0000 [2 per cell]
Si 0.2500 0.2500 0.5000 [4 per cell]
W 0.0000 0.5000 0.0000 [2 per cell]


9.
A plane-wave DFT calculation with PBE-GGA was carried out for BaSr2CoOs after structural relaxation.

formation energy	56.3	kJ/mol of atoms
raw total energy	-0.3043	Ry/atom

a = 5.7035 Å, b = 5.7035 Å, c = 4.6239 Å
α = 90.00°, β = 90.00°, γ = 90.00°
Space group P4/mmm (No. 123)
Asymmetric unit:
Ba 0.0000 0.0000 0.0000 [1 per cell]
Sr 0.0000 0.5000 0.5000 [2 per cell]
Co 0.5000 0.5000 0.5000 [1 per cell]
Os 0.5000 0.5000 0.0000 [1 per cell]


10.
A plane-wave DFT calculation with PBE-GGA was carried out for Zr4TaCo after structural relaxation.

formation energy	67.4	kJ/mol of atoms
raw total energy	-0.5997	Ry/atom

a = 7.9593 Å, b = 7.9593 Å, c = 7.9593 Å
α = 90.00°, β = 90.00°, γ = 90.00°
Space group F-43m (No. 216)
Asymmetric unit:
Zr 0.1241 0.1241 0.3759 [16 per cell]
Ta 0.2500 0.2500 0.7500 [4 per cell]
Co 0.0000 0.0000 0.0000 [4 per cell]


11.
A plane-wave DFT calculation with PBE-GGA was carried out for Ti3GaTc2 after structural relaxation.

formation energy	-54.3	kJ/mol of atoms
raw total energy	-0.6225	Ry/atom

a = 3.1716 Å, b = 3.1716 Å, c = 9.1210 Å
α = 90.00°, β = 90.00°, γ = 90.00°
Space group P4/mmm (No. 123)
Asymmetric unit:
Ti 0.0000 0.0000 0.0000 [1 per cell]
Ti 0.0000 0.0000 0.3244 [2 per cell]
Ga 0.5000 0.5000 0.5000 [1 per cell]
Tc 0.5000 0.5000 0.1718 [2 per cell]


12.
A plane-wave DFT calculation with PBE-GGA was carried out for ZrNb after structural relaxation.

formation energy	72.0	kJ/mol of atoms
raw total energy	-0.6293	Ry/atom

a = 5.5646 Å, b = 5.5646 Å, c = 5.7249 Å
α = 90.00°, β = 90.00°, γ = 90.00°
Space group P4_2/mnm (No. 136)
Asymmetric unit:
Zr 0.1936 0.1936 0.0000 [4 per cell]
Nb 0.1848 0.1848 0.5000 [4 per cell]


13.
A plane-wave DFT calculation with PBE-GGA was carried out for RbI5 after structural relaxation.

E_form (uncorrected)	-0.32	eV/atom
raw total energy	-0.1305	Ry/atom

a = 4.7137 Å, b = 27.0603 Å, c = 4.7104 Å
α = 90.00°, β = 90.00°, γ = 90.00°
Space group Cmmm (No. 65)
Asymmetric unit:
Rb 0.0000 0.0000 0.0000 [2 per cell]
I 0.0000 0.1668 0.5000 [4 per cell]
I 0.0000 0.3331 0.0000 [4 per cell]
I 0.0000 0.5000 0.5000 [2 per cell]


14.
A plane-wave DFT calculation with PBE-GGA was carried out for Ho6Tl2H after structural relaxation.

raw total energy	-0.3013	Ry/atom

a = 6.4158 Å, b = 8.0559 Å, c = 11.3708 Å
α = 90.00°, β = 123.82°, γ = 90.00°
Space group P2_1/c (No. 14)
Asymmetric unit:
Ho 0.0896 0.1919 0.4488 [4 per cell]
Ho 0.3090 0.6805 0.4481 [4 per cell]
Ho 0.3686 0.0269 0.2519 [4 per cell]
Tl 0.1723 0.1159 0.7455 [4 per cell]
H 0.0000 0.0000 0.0000 [2 per cell]


15.
A plane-wave DFT calculation with PBE-GGA was carried out for NdDy2Al after structural relaxation.

relative energy among the computed polymorphs	0	meV/atom
formation energy	-18.6	kJ/mol of atoms
raw total energy	-0.3397	Ry/atom

a = 3.5368 Å, b = 3.5368 Å, c = 9.1187 Å
α = 90.00°, β = 90.00°, γ = 90.00°
Space group P4/mmm (No. 123)
Asymmetric unit:
Nd 0.0000 0.0000 0.0000 [1 per cell]
Dy 0.5000 0.5000 0.2909 [2 per cell]
Al 0.0000 0.0000 0.5000 [1 per cell]


16.
A plane-wave DFT calculation with PBE-GGA was carried out for KBH4 after structural relaxation.

raw total energy	-0.2904	Ry/atom

a = 4.6987 Å, b = 4.6987 Å, c = 6.6184 Å
α = 90.00°, β = 90.00°, γ = 90.00°
Space group P4_2/nmc (No. 137, origin choice 2)
Asymmetric unit:
K 0.2500 0.7500 0.2500 [2 per cell]
B 0.2500 0.7500 0.7500 [2 per cell]
H 0.0368 0.7500 0.6422 [8 per cell]


17.
A plane-wave DFT calculation with PBE-GGA was carried out for Th3Tl2 after structural relaxation.

relative energy among the computed polymorphs	0	meV/atom
formation energy	-4.8	kJ/mol of atoms
raw total energy	-0.4005	Ry/atom

a = 4.1503 Å, b = 4.1503 Å, c = 17.5003 Å
α = 90.00°, β = 90.00°, γ = 90.00°
Space group P4/mmm (No. 123)
Asymmetric unit:
Th 0.0000 0.0000 0.0000 [1 per cell]
Th 0.0000 0.0000 0.1941 [2 per cell]
Th 0.0000 0.0000 0.3914 [2 per cell]
Th 0.5000 0.5000 0.5000 [1 per cell]
Tl 0.5000 0.5000 0.0973 [2 per cell]
Tl 0.5000 0.5000 0.2950 [2 per cell]


18.
A plane-wave DFT calculation with PBE-GGA was carried out for KMnB2 after structural relaxation.

formation energy	206.7	kJ/mol of atoms
raw total energy	-0.2766	Ry/atom

a = 5.9399 Å, b = 5.9399 Å, c = 5.9399 Å
α = 90.00°, β = 90.00°, γ = 90.00°
Space group Fm-3m (No. 225)
Asymmetric unit:
K 0.0000 0.0000 0.0000 [4 per cell]
Mn 0.0000 0.0000 0.5000 [4 per cell]
B 0.2500 0.2500 0.2500 [8 per cell]


19.
A plane-wave DFT calculation with PBE-GGA was carried out for MnPt2Rh after structural relaxation.

formation energy	-12.5	kJ/mol of atoms
raw total energy	-0.5351	Ry/atom

a = 2.7899 Å, b = 2.7899 Å, c = 26.3372 Å
α = 90.00°, β = 90.00°, γ = 120.00°
Space group R3m (No. 160, hexagonal axes)
Asymmetric unit:
Mn 0.0000 0.0000 0.0000 [3 per cell]
Pt 0.0000 0.0000 0.5040 [3 per cell]
Pt 0.0000 0.0000 0.7460 [3 per cell]
Rh 0.0000 0.0000 0.2585 [3 per cell]


20.
A plane-wave DFT calculation with PBE-GGA was carried out for KSb2Se after structural relaxation.

relative energy among the computed polymorphs	0	meV/atom
E_form (uncorrected)	-0.36	eV/atom
raw total energy	-0.2619	Ry/atom

a = 4.2318 Å, b = 4.2318 Å, c = 8.2024 Å
α = 90.00°, β = 90.00°, γ = 90.00°
Space group P4mm (No. 99)
Asymmetric unit:
K 0.0000 0.0000 0.0000 [1 per cell]
Sb 0.0000 0.0000 0.4549 [1 per cell]
Sb 0.5000 0.5000 0.5670 [1 per cell]
Se 0.5000 0.5000 0.8726 [1 per cell]